Entry 1:
Crystalline LuCd2Sb at its relaxed geometry. Source: the Alexandria database, functional PBE.

Cell lengths 3.3131, 3.3131, 11.6866 Å; angles 81.85, 81.85, 60.00 degrees
With the nearest neighbours (Å) after each atom.
Fractional positions:
Sb: 0.5000 0.5000 0.5000  6 Cd 3.30, 6 Sb 3.31
Lu: 0.0000 0.0000 0.0000  2 Cd 3.07, 6 Lu 3.31
Cd: 0.0888 0.0888 0.7336  1 Lu 3.07, 3 Sb 3.30, 6 Cd 3.31
Cd: 0.9112 0.9112 0.2664  1 Lu 3.07, 3 Sb 3.30, 6 Cd 3.31

Formation energy from raw total energies   83 kJ/mol of formula units
Density of states at the Fermi level   0.72 states/eV per atom
Relative energy among the computed polymorphs   13.69 kcal/mol of atoms

Entry 2:
Crystalline CaScBe3 at its relaxed geometry. Source: the Alexandria database, functional PBE.

Cell lengths 4.6847, 4.6847, 4.6847 Å; angles 90.00, 90.00, 90.00 degrees
With the nearest neighbours (Å) after each atom.
Fractional positions:
Sc: 0.5000 0.5000 0.5000  12 Be 3.31
Be: 0.0000 0.5000 0.0000  2 Ca 2.34
Be: 0.0000 0.0000 0.5000  2 Ca 2.34
Be: 0.5000 0.0000 0.0000  2 Ca 2.34
Ca: 0.0000 0.0000 0.0000  6 Be 2.34

Density of states at the Fermi level   1.11 states/eV per atom
Relative energy among the computed polymorphs   10.41 kcal/mol of atoms

Entry 3:
Crystalline ZrPtN2 at its relaxed geometry. Source: the Alexandria database, functional PBE.

Cell lengths 4.4343, 4.4343, 6.5232 Å; angles 70.13, 70.13, 90.00 degrees
With the nearest neighbours (Å) after each atom.
Fractional positions:
Zr: 0.5000 0.5000 0.0000  4 N 2.13
Zr: 0.2500 0.7500 0.5000  4 N 2.13
Pt: 0.0000 0.0000 0.0000  4 N 2.11
Pt: 0.7500 0.2500 0.5000  4 N 2.11
N: 0.6294 0.1250 0.2500  2 Pt 2.11, 2 Zr 2.13
N: 0.1206 0.6250 0.2500  2 Pt 2.11, 2 Zr 2.13
N: 0.3750 0.3706 0.7500  2 Pt 2.11, 2 Zr 2.13
N: 0.8750 0.8794 0.7500  2 Pt 2.11, 2 Zr 2.13

Formation energy from raw total energies   -96 kJ/mol of formula units
Density of states at the Fermi level   0.93 states/eV per atom
Relative energy among the computed polymorphs   3.26 kcal/mol of atoms

Entry 4:
Crystalline TaMoRu2 at its relaxed geometry. Source: the Alexandria database, functional PBE.

Cell lengths 5.6802, 5.6802, 6.9352 Å; angles 65.82, 65.82, 90.00 degrees
With the nearest neighbours (Å) after each atom.
Fractional positions:
Ru: 0.6131 0.1250 0.2500  2 Mo 2.42, 2 Ta 2.50
Ru: 0.1369 0.6250 0.2500  2 Mo 2.42, 2 Ta 2.50
Ru: 0.3750 0.3869 0.7500  2 Mo 2.42, 2 Ta 2.50
Ru: 0.8750 0.8631 0.7500  2 Mo 2.42, 2 Ta 2.50
Mo: 0.5000 0.5000 0.0000  4 Ru 2.42
Mo: 0.2500 0.7500 0.5000  4 Ru 2.42
Ta: 0.0000 0.0000 0.0000  4 Ru 2.50
Ta: 0.7500 0.2500 0.5000  4 Ru 2.50

Density of states at the Fermi level   1.45 states/eV per atom
Relative energy among the computed polymorphs   31.15 kcal/mol of atoms

Entry 5:
Crystalline Pt2PbBr at its relaxed geometry. Source: the Alexandria database, functional PBE.

Cell lengths 4.3637, 4.8356, 4.8381 Å; angles 67.34, 90.00, 90.00 degrees
With the nearest neighbours (Å) after each atom.
Fractional positions:
Pb: 0.5000 0.8079 0.8076  4 Pt 2.78-2.81
Br: 0.0000 0.4668 0.4670  2 Pt 2.72
Pt: 0.0000 0.0220 0.0223  2 Pt 2.62, 2 Br 2.72, 2 Pb 2.78
Pt: 0.5000 0.2032 0.2032  2 Pt 2.62, 2 Pb 2.81

Formation energy from raw total energies   53 kJ/mol of formula units
Density of states at the Fermi level   0.78 states/eV per atom
Relative energy among the computed polymorphs   2.59 kcal/mol of atoms

Entry 6:
Crystalline CaHoTm2Au4 at its relaxed geometry. Source: the Alexandria database, functional PBE.

Cell lengths 5.0406, 5.0406, 8.8064 Å; angles 73.37, 73.37, 60.00 degrees
With the nearest neighbours (Å) after each atom.
Fractional positions:
Ca: 0.0000 0.0000 0.0000  8 Au 3.12-3.24
Ho: 0.5000 0.5000 0.5000  8 Au 3.02-3.05
Tm: 0.7486 0.7486 0.7543  8 Au 3.03-3.18
Tm: 0.2514 0.2514 0.2457  8 Au 3.03-3.18
Au: 0.3789 0.3789 0.8633  1 Ho 3.02, 4 Tm 3.05-3.18, 3 Ca 3.12
Au: 0.8701 0.8701 0.3897  4 Tm 3.03-3.15, 3 Ho 3.05, 1 Ca 3.24
Au: 0.1299 0.1299 0.6103  4 Tm 3.03-3.15, 3 Ho 3.05, 1 Ca 3.24
Au: 0.6211 0.6211 0.1367  1 Ho 3.02, 4 Tm 3.05-3.18, 3 Ca 3.12

VASP energy   -4.4343 eV/atom
Density of states at the Fermi level   0.52 states/eV per atom